[1]
Below is a relaxed BaNaGa2 crystal, with properties calculated at the PBE level.

For the energy above the most stable polymorph in this dataset, the calculation gives 0.0000 eV per atom. As for the energy of formation from the pure elements: -0.251 eV per atom. The raw total energy comes out at -41.20 eV per cell.

Lattice parameters (Å, degrees): 7.8230 5.0909 12.5067 90.00 90.00 90.00
Positions (direct):
Ba  0.1378  0.2500  0.1384
Ba  0.3622  0.7500  0.6384
Ba  0.6378  0.2500  0.3616
Ba  0.8622  0.7500  0.8616
Na  0.1246  0.2500  0.4402
Na  0.3754  0.7500  0.9402
Na  0.6246  0.2500  0.0598
Na  0.8754  0.7500  0.5598
Ga  0.0229  0.2500  0.6814
Ga  0.2003  0.2500  0.8457
Ga  0.2997  0.7500  0.3457
Ga  0.4771  0.7500  0.1814
Ga  0.5229  0.2500  0.8186
Ga  0.7003  0.2500  0.6543
Ga  0.7997  0.7500  0.1543
Ga  0.9771  0.7500  0.3186


[2]
Below is a relaxed TlPd12Au3 crystal, with properties calculated at the PBE level.

As for the energy of formation from the pure elements: -0.078 eV per atom. The raw total energy comes out at -75.75 eV per cell.

Lattice parameters (Å, degrees): 4.0264 4.0264 16.0477 90.00 90.00 90.00
Positions (direct):
Tl  0.0000  0.0000  0.0000
Pd  0.0000  0.5000  0.1282
Pd  0.0000  0.5000  0.3762
Pd  0.0000  0.5000  0.6238
Pd  0.0000  0.5000  0.8718
Pd  0.5000  0.0000  0.1282
Pd  0.5000  0.0000  0.3762
Pd  0.5000  0.0000  0.6238
Pd  0.5000  0.0000  0.8718
Pd  0.5000  0.5000  0.0000
Pd  0.5000  0.5000  0.2529
Pd  0.5000  0.5000  0.5000
Pd  0.5000  0.5000  0.7471
Au  0.0000  0.0000  0.2520
Au  0.0000  0.0000  0.5000
Au  0.0000  0.0000  0.7480


[3]
Below is a relaxed Y12SnPd6 crystal, with properties calculated at the PBE level.

As for the energy of formation from the pure elements: -0.658 eV per atom. The raw total energy comes out at -125.22 eV per cell.

Lattice parameters (Å, degrees): 8.6583 8.6583 8.6583 109.47 109.47 109.47
Positions (direct):
Y  0.1134  0.2973  0.8161
Y  0.1839  0.4812  0.2973
Y  0.1839  0.8866  0.7027
Y  0.2973  0.1839  0.4812
Y  0.2973  0.8161  0.1134
Y  0.4812  0.2973  0.1839
Y  0.5188  0.7027  0.8161
Y  0.7027  0.1839  0.8866
Y  0.7027  0.8161  0.5188
Y  0.8161  0.1134  0.2973
Y  0.8161  0.5188  0.7027
Y  0.8866  0.7027  0.1839
Sn  0.0000  0.0000  0.0000
Pd  0.1363  0.5000  0.6363
Pd  0.3637  0.8637  0.5000
Pd  0.5000  0.3637  0.8637
Pd  0.5000  0.6363  0.1363
Pd  0.6363  0.1363  0.5000
Pd  0.8637  0.5000  0.3637


[4]
Below is a relaxed AcPm14Pu crystal, with properties calculated at the PBE level.

As for the energy of formation from the pure elements: 0.050 eV per atom. The raw total energy comes out at -84.15 eV per cell.

Lattice parameters (Å, degrees): 7.3251 7.3251 10.3045 90.00 90.00 90.05
Positions (direct):
Ac  0.0000  0.0000  0.0000
Pm  0.0000  0.0000  0.5000
Pm  0.0000  0.5000  0.0000
Pm  0.0000  0.5000  0.5000
Pm  0.2544  0.2544  0.2500
Pm  0.2544  0.2544  0.7500
Pm  0.2543  0.7457  0.2502
Pm  0.2543  0.7457  0.7498
Pm  0.5000  0.0000  0.0000
Pm  0.5000  0.0000  0.5000
Pm  0.5000  0.5000  0.5000
Pm  0.7457  0.2543  0.2502
Pm  0.7457  0.2543  0.7498
Pm  0.7456  0.7456  0.2500
Pm  0.7456  0.7456  0.7500
Pu  0.5000  0.5000  0.0000


[5]
Below is a relaxed CrWBr2 crystal, with properties calculated at the PBE level.

For the energy above the most stable polymorph in this dataset, the calculation gives 1.1956 eV per atom. The raw total energy comes out at -81.87 eV per cell.

Lattice parameters (Å, degrees): 6.7801 6.7801 6.7801 90.00 90.00 90.00
Positions (direct):
Cr  0.0000  0.0000  0.0000
Cr  0.0000  0.5000  0.5000
Cr  0.5000  0.0000  0.5000
Cr  0.5000  0.5000  0.0000
W  0.2500  0.2500  0.7500
W  0.2500  0.7500  0.2500
W  0.7500  0.2500  0.2500
W  0.7500  0.7500  0.7500
Br  0.0000  0.0000  0.5000
Br  0.0000  0.5000  0.0000
Br  0.2500  0.2500  0.2500
Br  0.2500  0.7500  0.7500
Br  0.5000  0.0000  0.0000
Br  0.5000  0.5000  0.5000
Br  0.7500  0.2500  0.7500
Br  0.7500  0.7500  0.2500


[6]
Below is a relaxed KZn2H2 crystal, with properties calculated at the PBE level.

The raw total energy comes out at -17.91 eV per cell.

Lattice parameters (Å, degrees): 4.1287 4.1287 9.0860 90.00 90.00 90.00
Positions (direct):
K  0.0000  0.0000  0.0000
K  0.5000  0.5000  0.5000
Zn  0.0000  0.0000  0.3452
Zn  0.0000  0.0000  0.6548
Zn  0.5000  0.5000  0.1548
Zn  0.5000  0.5000  0.8452
H  0.0000  0.5000  0.2500
H  0.0000  0.5000  0.7500
H  0.5000  0.0000  0.2500
H  0.5000  0.0000  0.7500


[7]
Below is a relaxed Li2GaSiO4 crystal, with properties calculated at the PBE level.

The raw total energy comes out at -97.65 eV per cell.

Lattice parameters (Å, degrees): 4.5542 4.5542 8.7324 90.00 90.00 90.00
Positions (direct):
Li  0.0000  0.0000  0.0000
Li  0.0000  0.5000  0.2500
Li  0.5000  0.0000  0.7500
Li  0.5000  0.5000  0.5000
Ga  0.0000  0.0000  0.5000
Ga  0.5000  0.5000  0.0000
Si  0.0000  0.5000  0.7500
Si  0.5000  0.0000  0.2500
O  0.2080  0.7166  0.8594
O  0.2166  0.2920  0.6406
O  0.2834  0.2080  0.1406
O  0.2920  0.7834  0.3594
O  0.7080  0.2166  0.3594
O  0.7166  0.7920  0.1406
O  0.7834  0.7080  0.6406
O  0.7920  0.2834  0.8594


[8]
Below is a relaxed Tb5Y3P8 crystal, with properties calculated at the PBE level.

As for the energy of formation from the pure elements: -1.619 eV per atom. The raw total energy comes out at -111.72 eV per cell.

Lattice parameters (Å, degrees): 8.0447 8.0447 8.0447 60.00 60.00 60.00
Positions (direct):
Tb  0.0000  0.0000  0.0000
Tb  0.0000  0.5000  0.5000
Tb  0.5000  0.0000  0.5000
Tb  0.5000  0.5000  0.0000
Tb  0.5000  0.5000  0.5000
Y  0.0000  0.0000  0.5000
Y  0.0000  0.5000  0.0000
Y  0.5000  0.0000  0.0000
P  0.2498  0.2498  0.2498
P  0.2500  0.2500  0.7505
P  0.2500  0.7505  0.2500
P  0.2495  0.7500  0.7500
P  0.7505  0.2500  0.2500
P  0.7500  0.2495  0.7500
P  0.7500  0.7500  0.2495
P  0.7502  0.7502  0.7502